No. 1
A plane-wave DFT calculation with GGA-PBE was carried out for an optimized crystal structure of Tb12Bi3N5.

Values from the calculation:
Theoretical density: 8.73 Mg/m³
Space-group type: No. 230
Formation energy without anion corrections: -0.923 eV/atom
VASP energy: -6.364 eV/atom
Crystal system: cubic

The structure in extended XYZ format:
```
80
Lattice="13.704 0.000 0.000 -4.568 12.920 0.000 -4.568 -6.460 11.189" Properties=species:S:1:pos:R:3 pbc="T T T"
N -2.284 6.460 0.000
Tb 3.169 8.238 1.114
Bi -5.710 6.460 8.392
N 3.426 2.423 1.399
Tb -3.287 11.100 1.186
Bi -1.142 5.653 6.993
Tb 3.169 4.607 0.983
Tb 8.598 0.768 5.522
Tb -1.746 -0.768 5.522
Tb -5.453 -0.075 9.093
Tb -4.030 5.693 5.667
N 5.710 3.230 8.392
Tb -2.425 2.629 6.780
Tb -0.885 8.313 0.983
N 3.426 9.690 2.797
Tb 5.571 1.820 1.186
N 7.994 -0.808 6.993
Bi 7.994 4.038 1.399
Bi -3.426 2.423 9.790
Tb -2.425 -5.132 11.117
N 1.142 -3.230 8.392
Tb 5.453 1.778 10.075
Bi 3.426 0.000 8.392
Tb -0.885 4.682 1.114
Tb 1.399 -1.778 10.075
Tb 6.993 11.592 0.072
Tb 1.746 4.524 7.691
Tb -5.849 3.347 7.763
Tb 5.849 -1.293 6.577
Tb 4.030 -1.936 3.498
Tb -1.399 0.075 9.093
Tb 4.426 2.504 6.708
N 1.142 4.038 9.790
Tb 5.453 -1.853 10.206
Tb 7.855 -4.640 10.003
Tb 6.314 7.228 5.667
N 4.568 6.460 0.000
Tb -1.281 7.753 4.612
Tb 9.277 -2.629 6.780
Tb 2.821 1.936 3.498
Tb -4.709 9.089 4.409
Tb 6.993 3.831 4.409
Tb 5.967 6.385 2.096
N 2.284 3.230 5.595
Tb -4.426 5.132 11.117
Tb -1.003 -3.347 7.763
N 4.568 -3.230 5.595
Tb 5.105 5.291 9.020
Bi -3.426 -2.423 9.790
N -1.142 10.498 1.399
N -2.284 -3.230 5.595
Tb 2.143 8.964 4.481
Bi 1.142 6.460 2.797
Tb 0.538 8.396 7.691
Tb 1.003 1.293 6.577
Tb 10.021 6.536 2.096
Bi 7.994 8.883 1.399
Tb 0.141 3.956 4.481
N -1.142 0.808 6.993
Tb 7.389 -1.169 2.169
N 5.710 -4.038 9.790
Tb 2.425 -2.504 6.708
Tb -1.003 4.640 10.003
Bi 3.426 7.268 6.993
Tb -0.538 1.169 2.169
N 6.852 0.000 0.000
Tb 10.417 3.113 3.426
N 0.000 0.000 0.000
N -1.142 3.230 2.797
Bi 1.142 -0.808 4.196
N 5.710 5.653 4.196
Tb 3.565 5.167 4.612
N -3.426 7.268 4.196
Bi 5.710 0.808 4.196
Bi 10.278 0.000 2.797
Tb 5.571 9.807 3.426
Tb -2.821 7.629 9.020
Tb 1.399 1.853 10.206
Tb 8.994 1.328 0.072
N -4.568 3.230 5.595
```

=====

No. 2
A plane-wave DFT calculation with GGA-PBE was carried out for an optimized crystal structure of CsKCdS2.

Values from the calculation:
Theoretical density: 3.41 Mg/m³
Space-group type: No. 123
Formation energy without anion corrections: -0.267 eV/atom
VASP energy: -2.491 eV/atom
Crystal system: tetragonal

The structure in extended XYZ format:
```
5
Lattice="5.385 0.000 0.000 0.000 5.857 0.000 0.000 0.000 5.385" Properties=species:S:1:pos:R:3 pbc="T T T"
Cd 0.000 0.000 0.000
Cs 0.000 2.929 0.000
S 0.000 0.000 2.693
S 2.693 0.000 0.000
K 2.693 2.929 2.693
```

=====

No. 3
A plane-wave DFT calculation with GGA-PBE was carried out for an optimized crystal structure of ThNp2Mn9.

Values from the calculation:
E_form: 0.117 eV/atom
Theoretical density: 11.48 Mg/m³
Space-group type: No. 127
VASP energy: -9.535 eV/atom
Crystal system: tetragonal

The structure in extended XYZ format:
```
24
Lattice="-3.718 -0.448 -2.678 5.064 0.145 -7.054 0.771 -8.642 0.376" Properties=species:S:1:pos:R:3 pbc="T T T"
Np 3.194 -0.893 -4.285
Th 2.917 -4.249 -3.339
Mn 0.825 -1.672 -2.799
Np 2.640 -7.605 -2.393
Mn 1.554 -2.934 -7.648
Mn 0.563 -6.012 -1.709
Mn 2.184 -4.959 -6.160
Mn -0.055 -8.318 -2.490
Mn -1.473 -4.545 -1.151
Mn 3.193 -7.044 -5.188
Mn -1.392 -2.058 -1.681
Np 4.962 -5.174 -6.022
Mn 1.292 -7.274 -6.557
Mn -1.339 -6.241 -3.079
Mn 0.920 -6.324 -4.176
Mn 3.456 -2.705 -6.278
Mn 0.673 -0.152 -4.866
Mn 2.171 -0.627 -6.867
Mn 3.509 -6.888 -7.675
Mn -1.077 -1.901 -4.169
Mn -0.067 -3.987 -3.197
Th 0.000 0.000 0.000
Mn 1.197 -2.622 -5.180
Np 0.873 -3.323 -0.656
```